Entry 1:
# ThZrGa2Pt2

ThZrGa2Pt2 after structural relaxation (GGA-PBE, the Alexandria database).

Its total energy is -40.0 eV per formula unit.

It has space group P-3m1 (No. 164), with a = 4.4154 Å, b = 4.4154 Å, c = 7.0825 Å, α = 90.00°, β = 90.00° and γ = 120.00°. The distinct sites, in fractional coordinates, are Th at (0.0000, 0.0000, 0.0000), Zr at (0.0000, 0.0000, 0.5000), Ga at (0.3333, 0.6667, 0.7022) and Pt at (0.3333, 0.6667, 0.2803).



Entry 2:
# Ca3U2PaP6

Ca3U2PaP6 after structural relaxation (GGA-PBE, the Alexandria database).

Its total energy is -84.0 eV per formula unit.

It has space group C2/m (No. 12), with a = 6.997 Å, b = 12.118 Å, c = 7.049 Å, α = 90.00°, β = 109.32° and γ = 90.00°. The distinct sites, in fractional coordinates, are Ca at (0.000, 0.000, 0.000), Ca at (0.000, 0.334, 0.000), U at (0.000, 0.167, 0.500), Pa at (0.000, 0.500, 0.500), P at (0.243, 0.000, 0.729) and P at (0.243, 0.333, 0.729).



Entry 3:
# Ir6Rh5

Ir6Rh5 after structural relaxation (GGA-PBE, the Alexandria database).

Its total energy is -88.2 eV per formula unit.

It has space group C2/m (No. 12), with a = 7.708 Å, b = 10.072 Å, c = 4.616 Å, α = 90.00°, β = 114.04° and γ = 90.00°. The distinct sites, in fractional coordinates, are Ir at (0.188, 0.135, 0.123), Ir at (0.190, 0.000, 0.623), Rh at (0.000, 0.228, 0.500), Rh at (0.000, 0.366, 0.000) and Rh at (0.000, 0.500, 0.500).